Entry 1:
Here is crystalline Ga2BiBO6 at its relaxed geometry from the Alexandria database. Energies are from GGA-PBE.

Summary:
Energy relative to the elements, uncorrected (eV/atom): -1.8016

Cell: 10.6588 8.7641 6.0998 Å, 90.00 119.03 90.00°
With the nearest neighbours (Å) after each atom.
Space group C2/c (No. 15)
Unique sites:
1 Ga 0.2026 0.0683 0.1381 [8 per cell]  4 O 1.84-1.90
2 Bi 0.0000 0.3147 0.2500 [4 per cell]  6 O 2.34-2.57
3 B 0.0000 0.3186 0.7500 [4 per cell]  4 O 1.46-1.50
4 O 0.0845 0.2315 0.9802 [8 per cell]  1 B 1.46
5 O 0.0981 0.4165 0.6978 [8 per cell]  1 B 1.50
6 O 0.1672 0.0895 0.4131 [8 per cell]  2 Ga 1.85-1.90

***

Entry 2:
Here is crystalline Ga2BiBOs at its relaxed geometry from the Alexandria database. Energies are from GGA-PBE.

Summary:
Calculated formation energy (meV/atom): 585

Cell: 4.6017 4.6017 4.1624 Å, 90.00 90.00 90.00°
With the nearest neighbours (Å) after each atom.
Space group P4/mmm (No. 123)
Unique sites:
1 Ga 0.0000 0.5000 0.0000 [2 per cell]  2 B 2.30
2 Bi 0.0000 0.0000 0.5000 [1 per cell]  8 Ga 3.10, 4 Os 3.25
3 B 0.5000 0.5000 0.0000 [1 per cell]  2 Os 2.08, 4 Ga 2.30
4 Os 0.5000 0.5000 0.5000 [1 per cell]  2 B 2.08

***

Entry 3:
Here is crystalline GaSiBi2B at its relaxed geometry from the Alexandria database. Energies are from GGA-PBE.

Summary:
Energy relative to the elements, uncorrected (eV/atom): 0.9535

Cell: 5.7149 5.7149 3.7685 Å, 90.00 90.00 90.00°
With the nearest neighbours (Å) after each atom.
Space group P4/mmm (No. 123)
Unique sites:
1 Ga 0.0000 0.0000 0.0000 [1 per cell]  2 B 1.88
2 Si 0.5000 0.5000 0.5000 [1 per cell]  8 Bi 3.42, 2 Si 3.77
3 Bi 0.0000 0.5000 0.0000 [2 per cell]  2 Ga 2.86
4 B 0.0000 0.0000 0.5000 [1 per cell]  2 Ga 1.88

***

Entry 4:
Here is crystalline GaTcBi2B at its relaxed geometry from the Alexandria database. Energies are from GGA-PBE.

Summary:
Calculated formation energy (meV/atom): 1005

Cell: 5.1997 5.1997 3.7864 Å, 90.00 90.00 90.00°
With the nearest neighbours (Å) after each atom.
Space group P4/mmm (No. 123)
Unique sites:
1 Ga 0.0000 0.0000 0.0000 [1 per cell]  2 B 1.89
2 Tc 0.5000 0.5000 0.0000 [1 per cell]  8 Bi 3.22
3 Bi 0.0000 0.5000 0.5000 [2 per cell]  2 B 2.60
4 B 0.0000 0.0000 0.5000 [1 per cell]  2 Ga 1.89

***

Entry 5:
Here is crystalline GaBiBTe2 at its relaxed geometry from the Alexandria database. Energies are from GGA-PBE.

Summary:
Energy relative to the elements, uncorrected (eV/atom): 0.4213

Cell: 5.3086 5.3086 4.2037 Å, 90.00 90.00 90.00°
With the nearest neighbours (Å) after each atom.
Space group P4/mmm (No. 123)
Unique sites:
1 Ga 0.0000 0.0000 0.0000 [1 per cell]  2 B 2.10
2 Bi 0.5000 0.5000 0.0000 [1 per cell]  8 Te 3.39, 4 Ga 3.75
3 B 0.0000 0.0000 0.5000 [1 per cell]  2 Ga 2.10
4 Te 0.0000 0.5000 0.5000 [2 per cell]  2 B 2.65

***

Entry 6:
Here is crystalline Y2GaBiB at its relaxed geometry from the Alexandria database. Energies are from GGA-PBE.

Summary:
Calculated formation energy (meV/atom): -437

Cell: 5.2427 5.2427 4.0770 Å, 90.00 90.00 90.00°
With the nearest neighbours (Å) after each atom.
Space group P4/mmm (No. 123)
Unique sites:
1 Y 0.0000 0.5000 0.0000 [2 per cell]  2 B 2.62
2 Ga 0.0000 0.0000 0.5000 [1 per cell]  2 B 2.04
3 Bi 0.5000 0.5000 0.5000 [1 per cell]  8 Y 3.32, 4 Ga 3.71
4 B 0.0000 0.0000 0.0000 [1 per cell]  2 Ga 2.04

***

Entry 7:
Here is crystalline GeBiB3 at its relaxed geometry from the Alexandria database. Energies are from GGA-PBE.

Summary:
Calculated formation energy (meV/atom): 1697

Cell: 4.2621 4.2621 4.2621 Å, 90.00 90.00 90.00°
With the nearest neighbours (Å) after each atom.
Space group Pm-3m (No. 221)
Unique sites:
1 Ge 0.0000 0.0000 0.0000 [1 per cell]  6 B 2.13
2 Bi 0.5000 0.5000 0.5000 [1 per cell]  12 B 3.01
3 B 0.0000 0.0000 0.5000 [3 per cell]  2 Ge 2.13

***

Entry 8:
Here is crystalline GeBiB2 at its relaxed geometry from the Alexandria database. Energies are from GGA-PBE.

Summary:
Calculated formation energy (meV/atom): 679

Cell: 5.1979 5.1979 10.3100 Å, 90.00 90.00 90.00°
With the nearest neighbours (Å) after each atom.
Space group I-42d (No. 122)
Unique sites:
1 Ge 0.0000 0.0000 0.0000 [4 per cell]  4 B 2.12
2 Bi 0.0000 0.0000 0.5000 [4 per cell]  4 B 2.39
3 B 0.2047 0.2500 0.1250 [8 per cell]  2 Ge 2.12

***

Entry 9:
Here is crystalline Ge3BiB at its relaxed geometry from the Alexandria database. Energies are from GGA-PBE.

Summary:
Calculated formation energy (meV/atom): 1983

Cell: 5.4926 5.4926 5.4926 Å, 90.00 90.00 90.00°
With the nearest neighbours (Å) after each atom.
Space group Pm-3m (No. 221)
Unique sites:
1 Ge 0.0000 0.0000 0.5000 [3 per cell]  2 Bi 2.75
2 Bi 0.0000 0.0000 0.0000 [1 per cell]  6 Ge 2.75
3 B 0.5000 0.5000 0.5000 [1 per cell]  12 Ge 3.88

***

Entry 10:
Here is crystalline GeBiB3 at its relaxed geometry from the Alexandria database. Energies are from GGA-PBE.

Summary:
Calculated formation energy (meV/atom): 2539

Cell: 4.6886 4.6886 4.6886 Å, 90.00 90.00 90.00°
With the nearest neighbours (Å) after each atom.
Space group Pm-3m (No. 221)
Unique sites:
1 Ge 0.0000 0.0000 0.0000 [1 per cell]  12 B 3.32
2 Bi 0.5000 0.5000 0.5000 [1 per cell]  6 B 2.34
3 B 0.0000 0.5000 0.5000 [3 per cell]  2 Bi 2.34

***

Entry 11:
Here is crystalline Ge3BiB at its relaxed geometry from the Alexandria database. Energies are from GGA-PBE.

Summary:
Calculated formation energy (meV/atom): 568

Cell: 4.5902 4.5902 4.5902 Å, 90.00 90.00 90.00°
With the nearest neighbours (Å) after each atom.
Space group Pm-3m (No. 221)
Unique sites:
1 Ge 0.0000 0.0000 0.5000 [3 per cell]  2 B 2.30
2 Bi 0.5000 0.5000 0.5000 [1 per cell]  12 Ge 3.25
3 B 0.0000 0.0000 0.0000 [1 per cell]  6 Ge 2.30

***

Entry 12:
Here is crystalline GeBiB2 at its relaxed geometry from the Alexandria database. Energies are from GGA-PBE.

Summary:
Calculated formation energy (meV/atom): 1575

Cell: 6.3417 6.3417 6.3417 Å, 90.00 90.00 90.00°
With the nearest neighbours (Å) after each atom.
Space group Fm-3m (No. 225)
Unique sites:
1 Ge 0.0000 0.0000 0.0000 [4 per cell]  8 B 2.75
2 Bi 0.0000 0.0000 0.5000 [4 per cell]  8 B 2.75
3 B 0.2500 0.2500 0.2500 [8 per cell]  4 Bi 2.75, 4 Ge 2.75

***

Entry 13:
Here is crystalline MnGeBiB2 at its relaxed geometry from the Alexandria database. Energies are from GGA-PBE.

Summary:
Calculated formation energy (meV/atom): 1345

Cell: 4.1607 4.1607 4.8982 Å, 90.00 90.00 90.00°
With the nearest neighbours (Å) after each atom.
Space group P4/mmm (No. 123)
Unique sites:
1 Mn 0.0000 0.0000 0.0000 [1 per cell]  2 Ge 2.45
2 Ge 0.0000 0.0000 0.5000 [1 per cell]  4 B 2.08
3 Bi 0.5000 0.5000 0.0000 [1 per cell]  4 Mn 2.94, 8 B 3.21
4 B 0.0000 0.5000 0.5000 [2 per cell]  2 Ge 2.08

***

Entry 14:
Here is crystalline GeBi2BPt at its relaxed geometry from the Alexandria database. Energies are from GGA-PBE.

Summary:
Calculated formation energy (meV/atom): 937

Cell: 5.6803 5.6803 3.6279 Å, 90.00 90.00 90.00°
With the nearest neighbours (Å) after each atom.
Space group P4/mmm (No. 123)
Unique sites:
1 Ge 0.0000 0.0000 0.0000 [1 per cell]  2 B 1.81
2 Bi 0.0000 0.5000 0.0000 [2 per cell]  2 Ge 2.84
3 B 0.0000 0.0000 0.5000 [1 per cell]  2 Ge 1.81
4 Pt 0.5000 0.5000 0.5000 [1 per cell]  8 Bi 3.37, 2 Pt 3.63

***

Entry 15:
Here is crystalline RbGe2BiB at its relaxed geometry from the Alexandria database. Energies are from GGA-PBE.

Summary:
Calculated formation energy (meV/atom): 2436

Cell: 5.6955 5.6955 6.1968 Å, 90.00 90.00 90.00°
With the nearest neighbours (Å) after each atom.
Space group P4/mmm (No. 123)
Unique sites:
1 Rb 0.0000 0.0000 0.0000 [1 per cell]  4 Ge 2.85, 2 Bi 3.10
2 Ge 0.0000 0.5000 0.0000 [2 per cell]  2 Rb 2.85
3 Bi 0.0000 0.0000 0.5000 [1 per cell]  2 Rb 3.10
4 B 0.5000 0.5000 0.5000 [1 per cell]  4 Bi 4.03, 8 Ge 4.21

***

Entry 16:
Here is crystalline BiB3H at its relaxed geometry from the Alexandria database. Energies are from GGA-PBE.

Summary:
Total energy (eV/atom): -3.47

Cell: 3.8605 3.8605 3.8605 Å, 90.00 90.00 90.00°
With the nearest neighbours (Å) after each atom.
Space group Pm-3m (No. 221)
Unique sites:
1 Bi 0.0000 0.0000 0.0000 [1 per cell]  12 B 2.73
2 B 0.0000 0.5000 0.5000 [3 per cell]  2 H 1.93
3 H 0.5000 0.5000 0.5000 [1 per cell]  6 B 1.93

***

Entry 17:
Here is crystalline BiBH4 at its relaxed geometry from the Alexandria database. Energies are from GGA-PBE.

Summary:
Total energy (eV/atom): -3.58

Cell: 5.3344 4.2768 10.7600 Å, 90.00 91.06 90.00°
With the nearest neighbours (Å) after each atom.
Space group C2/c (No. 15)
Unique sites:
1 Bi 0.0000 0.0017 0.2500 [4 per cell]  2 B 2.69, 8 H 2.95-2.98
2 B 0.0000 0.0000 0.0000 [4 per cell]  4 H 1.23-1.28
3 H 0.0000 0.2992 0.9998 [8 per cell]  1 B 1.28
4 H 0.2306 0.0001 0.0029 [8 per cell]  1 B 1.23

***

Entry 18:
Here is crystalline BiB2H6 at its relaxed geometry from the Alexandria database. Energies are from GGA-PBE.

Summary:
Total energy (eV/atom): -2.61

Cell: 6.5925 6.5925 6.5925 Å, 90.00 90.00 90.00°
With the nearest neighbours (Å) after each atom.
Space group Fm-3m (No. 225)
Unique sites:
1 Bi 0.0000 0.0000 0.0000 [4 per cell]  6 H 2.30
2 B 0.2500 0.2500 0.2500 [8 per cell]  12 H 2.42
3 H 0.0000 0.0000 0.3484 [24 per cell]  4 H 1.41

***

Entry 19:
Here is crystalline BiB3H12 at its relaxed geometry from the Alexandria database. Energies are from GGA-PBE.

Summary:
Total energy (eV/atom): -3.99

Cell: 7.9236 7.9236 19.5049 Å, 90.00 90.00 120.00°
With the nearest neighbours (Å) after each atom.
Space group R-3c (No. 167, hexagonal axes)
Unique sites:
1 Bi 0.0000 0.0000 0.0000 [6 per cell]  12 H 2.43
2 B 0.0000 0.4979 0.2500 [18 per cell]  4 H 1.23
3 H 0.0012 0.1959 0.5961 [36 per cell]  1 B 1.23
4 H 0.0099 0.4122 0.7002 [36 per cell]  1 B 1.23

***

Entry 20:
Here is crystalline Bi2BH at its relaxed geometry from the Alexandria database. Energies are from GGA-PBE.

Summary:
Total energy (eV/atom): -3.68

Cell: 5.6059 5.6059 10.7126 Å, 90.00 90.00 90.00°
With the nearest neighbours (Å) after each atom.
Space group I-42d (No. 122)
Unique sites:
1 Bi 0.2425 0.2500 0.1250 [8 per cell]  2 H 2.37, 2 B 2.42
2 B 0.0000 0.0000 0.5000 [4 per cell]  4 Bi 2.42
3 H 0.0000 0.0000 0.0000 [4 per cell]  4 Bi 2.37

***

Entry 21:
Here is crystalline BiB3H at its relaxed geometry from the Alexandria database. Energies are from GGA-PBE.

Summary:
Total energy (eV/atom): -2.50

Cell: 4.8700 4.8700 4.8700 Å, 90.00 90.00 90.00°
With the nearest neighbours (Å) after each atom.
Space group Pm-3m (No. 221)
Unique sites:
1 Bi 0.0000 0.0000 0.0000 [1 per cell]  6 B 2.44
2 B 0.0000 0.0000 0.5000 [3 per cell]  2 Bi 2.44
3 H 0.5000 0.5000 0.5000 [1 per cell]  12 B 3.44

***

Entry 22:
Here is crystalline Bi2BH at its relaxed geometry from the Alexandria database. Energies are from GGA-PBE.

Summary:
Total energy (eV/atom): -3.41

Cell: 6.5987 6.5987 6.5987 Å, 90.00 90.00 90.00°
With the nearest neighbours (Å) after each atom.
Space group Fm-3m (No. 225)
Unique sites:
1 Bi 0.2500 0.2500 0.2500 [8 per cell]  4 B 2.86, 4 H 2.86
2 B 0.0000 0.0000 0.0000 [4 per cell]  8 Bi 2.86
3 H 0.0000 0.0000 0.5000 [4 per cell]  8 Bi 2.86

***

Entry 23:
Here is crystalline BiBH at its relaxed geometry from the Alexandria database. Energies are from GGA-PBE.

Summary:
Total energy (eV/atom): -3.93

Cell: 7.3444 4.3378 6.9136 Å, 90.00 92.83 90.00°
With the nearest neighbours (Å) after each atom.
Space group C2 (No. 5)
Unique sites:
1 Bi 0.1330 0.0000 0.2621 [4 per cell]  1 H 1.88
2 B 0.0959 0.3874 0.5490 [4 per cell]  1 B 1.53
3 H 0.2425 0.3305 0.1354 [4 per cell]  1 Bi 1.88

***

Entry 24:
Here is crystalline Bi3BH at its relaxed geometry from the Alexandria database. Energies are from GGA-PBE.

Summary:
Total energy (eV/atom): -3.23

Cell: 4.8308 4.8308 4.8308 Å, 90.00 90.00 90.00°
With the nearest neighbours (Å) after each atom.
Space group Pm-3m (No. 221)
Unique sites:
1 Bi 0.0000 0.0000 0.5000 [3 per cell]  2 H 2.42
2 B 0.5000 0.5000 0.5000 [1 per cell]  12 Bi 3.42
3 H 0.0000 0.0000 0.0000 [1 per cell]  6 Bi 2.42

***

Entry 25:
Here is crystalline MgBi2BH at its relaxed geometry from the Alexandria database. Energies are from GGA-PBE.

Summary:
Total energy (eV/atom): -2.91

Cell: 5.7014 5.7014 3.3530 Å, 90.00 90.00 90.00°
With the nearest neighbours (Å) after each atom.
Space group P4/mmm (No. 123)
Unique sites:
1 Mg 0.0000 0.0000 0.0000 [1 per cell]  2 H 1.68
2 Bi 0.0000 0.5000 0.0000 [2 per cell]  2 Mg 2.85
3 B 0.5000 0.5000 0.5000 [1 per cell]  8 Bi 3.31, 2 B 3.35
4 H 0.0000 0.0000 0.5000 [1 per cell]  2 Mg 1.68

***

Entry 26:
Here is crystalline Mn2BiBH at its relaxed geometry from the Alexandria database. Energies are from GGA-PBE.

Summary:
Total energy (eV/atom): -5.55

Cell: 3.7268 3.7268 4.9490 Å, 90.00 90.00 90.00°
With the nearest neighbours (Å) after each atom.
Space group P4/mmm (No. 123)
Unique sites:
1 Mn 0.0000 0.5000 0.0000 [2 per cell]  2 H 1.86
2 Bi 0.0000 0.0000 0.5000 [1 per cell]  2 H 2.47, 4 B 2.64
3 B 0.5000 0.5000 0.5000 [1 per cell]  4 Bi 2.64
4 H 0.0000 0.0000 0.0000 [1 per cell]  4 Mn 1.86

***

Result set for density: 6.069; 10.352; 7.104; 9.675; 7.635; 6.925; 6.736; 7.231; 4.386; 5.060; 7.515; 7.897; 7.014; 9.880; 3.722; 6.997; 6.057; 5.486; 2.382; 8.479; 3.485; 9.935; 6.667; 9.409; 6.918; 7.988 g cm⁻³, one per record in the order listed.